Entry 1:
Here is SrCd2W at its PBEsol-relaxed geometry from the Alexandria database. Energies are from SCAN.

POSCAR file:
```
SrCd2W
1.0
5.049 0.000 0.000
2.525 4.373 0.000
2.525 1.458 4.123
Sr Cd W
1 2 1
direct
0.000 0.000 0.000
0.250 0.250 0.250
0.750 0.750 0.750
0.500 0.500 0.500
```

Calculated values
The space group is No. 225.

Entry 2:
Here is ZrTaP at its PBEsol-relaxed geometry from the Alexandria database. Energies are from SCAN.

POSCAR file:
```
ZrTaP
1.0
3.482 0.000 0.000
0.000 4.224 0.000
0.000 -2.112 3.658
Ta Zr P
1 1 1
direct
0.000 0.333 0.667
0.500 0.667 0.333
0.000 0.000 0.000
```

Calculated values
The space group is No. 187.

Entry 3:
Here is KMg2Mn at its PBEsol-relaxed geometry from the Alexandria database. Energies are from SCAN.

POSCAR file:
```
KMg2Mn
1.0
-0.704 -3.045 -1.028
5.159 -0.608 -1.735
1.463 -1.989 4.889
Mn K Mg
1 1 2
direct
0.500 0.000 0.000
0.500 0.500 0.500
0.000 0.500 0.000
0.000 0.000 0.500
```

Calculated values
The space group is No. 65.

Entry 4:
Here is SrLa2Sn2 at its PBEsol-relaxed geometry from the Alexandria database. Energies are from SCAN.

POSCAR file:
```
SrLa2Sn2
1.0
-0.410 -3.857 -0.110
3.253 -0.100 -8.592
8.538 -1.001 3.244
Sr Sn La
2 4 4
direct
0.000 0.000 0.000
0.000 0.500 0.500
0.000 0.334 0.834
0.000 0.666 0.166
0.000 0.834 0.666
0.000 0.166 0.334
0.500 0.632 0.868
0.500 0.132 0.632
0.500 0.368 0.132
0.500 0.868 0.368
```

Calculated values
The space group is No. 127.

no.,size of the total moment (μB per formula unit),formation energy (eV/atom)
1,2.59,0.75
2,0.00,-0.25
3,3.96,0.47
4,0.00,-0.77